# PBE with a Hubbard U TlCd2CoF8, relaxed
# Energy   -48.73 eV for the cell shown
data_TlCd2CoF8
_cell_length_a 5.087
_cell_length_b 5.178
_cell_length_c 7.136
_cell_angle_alpha 89.87
_cell_angle_beta 89.89
_cell_angle_gamma 89.61
_space_group_name_H-M_alt 'P -1'
_space_group_IT_number 2
loop_
_space_group_symop_operation_xyz
'x,y,z'
'-x,-y,-z'
loop_
_atom_site_label
_atom_site_fract_x
_atom_site_fract_y
_atom_site_fract_z
Tl1 0.000 0.000 0.000
Cd1 0.500 0.500 0.264
Co1 0.000 0.000 0.500
F1 0.186 0.809 0.716
F2 0.187 0.810 0.284
F3 0.289 0.285 0.500
F4 0.325 0.316 0.000